[1]
Here is a crystal of CoPtRh2 relaxed with PBEsol from the Alexandria database. Energies are from meta-GGA SCAN.

Unit cell a=4.5980 b=4.5980 c=4.5754 alpha=100.10 beta=100.10 gamma=33.64
Atoms (fractional coordinates):
Co1 0.0000 0.0000 0.0000
Pt1 0.5000 0.5000 0.5000
Rh1 0.2551 0.2551 0.7584
Rh2 0.7449 0.7449 0.2416

Spin magnetization, μB per cell: 3.20
E_form, eV/atom: -0.028

***

[2]
Here is a crystal of FeSb2Pb relaxed with PBEsol from the Alexandria database. Energies are from meta-GGA SCAN.

Unit cell a=5.0497 b=5.0497 c=3.7827 alpha=90.00 beta=90.00 gamma=103.65
Atoms (fractional coordinates):
Fe1 0.0000 0.0000 0.0000
Sb1 0.0000 0.5000 0.5000
Sb2 0.5000 0.0000 0.5000
Pb1 0.5000 0.5000 0.0000

E_form (uncorrected), kJ/mol of atoms: 51.3
Spin magnetization, μB per cell: 3.11